(one)
Material: HfNiW2
Method: DFT, GGA-PBE
State: relaxed

a = 4.482 Å, b = 4.482 Å, c = 4.482 Å
α = 60.00°, β = 60.00°, γ = 60.00°
Element x y z (fractional)
Hf 0.000 0.000 0.000
Ni 0.500 0.500 0.500
W 0.250 0.250 0.250
W 0.750 0.750 0.750

Its space group is Fm-3m (225). The size of the total moment comes out at 0.0 μB per formula unit. The density of states at the Fermi level is 4.5 states/eV/f.u.

---

(two)
Material: HfNiW2
Method: DFT, GGA-PBE
State: relaxed

a = 10.435 Å, b = 10.435 Å, c = 10.435 Å
α = 159.55°, β = 159.55°, γ = 29.08°
Element x y z (fractional)
Hf 0.000 0.000 0.000
Hf 0.750 0.250 0.500
Ni 0.250 0.750 0.500
Ni 0.500 0.500 0.000
W 0.122 0.625 0.997
W 0.375 0.372 0.497
W 0.628 0.125 0.003
W 0.875 0.878 0.503

Its space group is I-42d (122). The size of the total moment comes out at 0.0 μB per formula unit. The density of states at the Fermi level is 3.7 states/eV/f.u.

---

The most stable arrangement is (one), and the next structure is 87 meV per atom less stable.

---

(one)
Material: YHfNi2
Method: DFT, GGA-PBE
State: relaxed

a = 4.640 Å, b = 4.640 Å, c = 4.640 Å
α = 60.00°, β = 60.00°, γ = 60.00°
Element x y z (fractional)
Y 0.000 0.000 0.000
Hf 0.500 0.500 0.500
Ni 0.250 0.250 0.250
Ni 0.750 0.750 0.750

Its space group is Fm-3m (225). The size of the total moment comes out at 0.0 μB per formula unit. The density of states at the Fermi level is 4.2 states/eV/f.u.

---

(two)
Material: YHfNi2
Method: DFT, GGA-PBE
State: relaxed

a = 3.266 Å, b = 3.266 Å, c = 6.697 Å
α = 90.00°, β = 90.00°, γ = 90.00°
Element x y z (fractional)
Y 0.000 0.000 0.000
Hf 0.000 0.000 0.500
Ni 0.500 0.500 0.293
Ni 0.500 0.500 0.707

Its space group is P4/mmm (123). The size of the total moment comes out at 0.0 μB per formula unit. The density of states at the Fermi level is 4.3 states/eV/f.u.

---

(three)
Material: YHfNi2
Method: DFT, GGA-PBE
State: relaxed

a = 5.874 Å, b = 5.874 Å, c = 5.874 Å
α = 105.95°, β = 105.95°, γ = 116.77°
Element x y z (fractional)
Y 0.000 0.000 0.000
Y 0.750 0.250 0.500
Hf 0.250 0.750 0.500
Hf 0.500 0.500 0.000
Ni 0.153 0.125 0.528
Ni 0.375 0.847 0.972
Ni 0.597 0.625 0.472
Ni 0.875 0.403 0.028

Its space group is I-42d (122). The size of the total moment comes out at 0.0 μB per formula unit. The density of states at the Fermi level is 5.2 states/eV/f.u.

---

The most stable arrangement is (two), and the next structure is 92 meV per atom less stable.

---

(one)
Material: YHf2Ni
Method: DFT, GGA-PBE
State: relaxed

a = 3.268 Å, b = 3.268 Å, c = 7.875 Å
α = 90.00°, β = 90.00°, γ = 90.00°
Element x y z (fractional)
Y 0.000 0.000 0.000
Hf 0.500 0.500 0.307
Hf 0.500 0.500 0.693
Ni 0.000 0.000 0.500

Its space group is P4/mmm (123). The size of the total moment comes out at 0.0 μB per formula unit. The density of states at the Fermi level is 6.4 states/eV/f.u.

---

(two)
Material: YHf2Ni
Method: DFT, GGA-PBE
State: relaxed

a = 4.843 Å, b = 4.843 Å, c = 4.843 Å
α = 60.00°, β = 60.00°, γ = 60.00°
Element x y z (fractional)
Y 0.000 0.000 0.000
Hf 0.250 0.250 0.250
Hf 0.750 0.750 0.750
Ni 0.500 0.500 0.500

Its space group is Fm-3m (225). The size of the total moment comes out at 0.0 μB per formula unit. The density of states at the Fermi level is 7.9 states/eV/f.u.

---

The most stable arrangement is (one), and the next structure is 371 meV per atom less stable.

---

(one)
Material: YHfNi
Method: DFT, GGA-PBE
State: relaxed

a = 4.506 Å, b = 4.506 Å, c = 6.441 Å
α = 90.00°, β = 90.00°, γ = 90.00°
Element x y z (fractional)
Y 0.250 0.250 0.119
Y 0.750 0.750 0.881
Hf 0.250 0.750 0.500
Hf 0.750 0.250 0.500
Ni 0.250 0.250 0.697
Ni 0.750 0.750 0.303

Its space group is P4/nmm (129). The size of the total moment comes out at 0.0 μB per formula unit. The density of states at the Fermi level is 3.5 states/eV/f.u.

---

(two)
Material: YHfNi
Method: DFT, GGA-PBE
State: relaxed

a = 6.825 Å, b = 6.825 Å, c = 4.689 Å
α = 90.00°, β = 90.00°, γ = 120.00°
Element x y z (fractional)
Y 0.000 0.404 0.000
Y 0.404 0.000 0.000
Y 0.596 0.596 0.000
Hf 0.000 0.737 0.500
Hf 0.263 0.263 0.500
Hf 0.737 0.000 0.500
Ni 0.000 0.000 0.000
Ni 0.333 0.667 0.500
Ni 0.667 0.333 0.500

Its space group is P-62m (189). The size of the total moment comes out at 0.0 μB per formula unit. The density of states at the Fermi level is 2.0 states/eV/f.u.

---

The most stable arrangement is (one), and the next structure is 57 meV per atom less stable.

---

(one)
Material: YHf3Ni
Method: DFT, GGA-PBE
State: relaxed

a = 4.910 Å, b = 4.910 Å, c = 4.910 Å
α = 90.00°, β = 90.00°, γ = 90.00°
Element x y z (fractional)
Y 0.000 0.000 0.000
Hf 0.000 0.500 0.500
Hf 0.500 0.000 0.500
Hf 0.500 0.500 0.000
Ni 0.500 0.500 0.500

Its space group is Pm-3m (221). The size of the total moment comes out at 0.0 μB per formula unit. The density of states at the Fermi level is 7.7 states/eV/f.u.

---

(two)
Material: YHf3Ni
Method: DFT, GGA-PBE
State: relaxed

a = 5.077 Å, b = 5.077 Å, c = 5.077 Å
α = 90.00°, β = 90.00°, γ = 90.00°
Element x y z (fractional)
Y 0.000 0.000 0.000
Hf 0.000 0.000 0.500
Hf 0.000 0.500 0.000
Hf 0.500 0.000 0.000
Ni 0.500 0.500 0.500

Its space group is Pm-3m (221). The size of the total moment comes out at 0.0 μB per formula unit. The density of states at the Fermi level is 9.5 states/eV/f.u.

---

The most stable arrangement is (one), and the next structure is 1768 meV per atom less stable.

---

(one)
Material: Hf2ZnNi4
Method: DFT, GGA-PBE
State: relaxed

a = 7.115 Å, b = 7.115 Å, c = 7.115 Å
α = 145.13°, β = 145.13°, γ = 50.14°
Element x y z (fractional)
Hf 0.132 0.132 0.000
Hf 0.868 0.868 0.000
Zn 0.500 0.500 0.000
Ni 0.000 0.500 0.500
Ni 0.320 0.320 0.000
Ni 0.500 0.000 0.500
Ni 0.680 0.680 0.000

Its space group is I4/mmm (139). The size of the total moment comes out at 0.0 μB per formula unit. The density of states at the Fermi level is 4.8 states/eV/f.u.

---

(two)
Material: Hf2ZnNi4
Method: DFT, GGA-PBE
State: relaxed

a = 4.609 Å, b = 4.609 Å, c = 5.974 Å
α = 98.11°, β = 98.11°, γ = 62.64°
Element x y z (fractional)
Hf 0.048 0.048 0.262
Hf 0.952 0.952 0.738
Zn 0.500 0.500 0.000
Ni 0.000 0.500 0.000
Ni 0.275 0.275 0.631
Ni 0.500 0.000 0.000
Ni 0.725 0.725 0.369

Its space group is C2/m (12). The size of the total moment comes out at 0.0 μB per formula unit. The density of states at the Fermi level is 4.4 states/eV/f.u.

---

The most stable arrangement is (two), and the next structure is 429 meV per atom less stable.

---

(one)
Material: HfZrNi
Method: DFT, GGA-PBE
State: relaxed

a = 5.271 Å, b = 5.271 Å, c = 5.271 Å
α = 120.57°, β = 103.93°, γ = 104.51°
Element x y z (fractional)
Hf 0.165 0.250 0.415
Hf 0.835 0.750 0.585
Zr 0.165 0.577 0.088
Zr 0.489 0.077 0.912
Ni 0.667 0.167 0.500
Ni 0.667 0.667 0.000

Its space group is Ima2 (46). The size of the total moment comes out at 0.0 μB per formula unit. The density of states at the Fermi level is 3.7 states/eV/f.u.

---

(two)
Material: HfZrNi
Method: DFT, GGA-PBE
State: relaxed

a = 5.798 Å, b = 5.798 Å, c = 5.798 Å
α = 147.80°, β = 147.80°, γ = 46.18°
Element x y z (fractional)
Hf 0.000 0.000 0.000
Zr 0.696 0.696 0.000
Ni 0.357 0.357 0.000

Its space group is I4mm (107). The size of the total moment comes out at 0.0 μB per formula unit. The density of states at the Fermi level is 2.6 states/eV/f.u.

---

The most stable arrangement is (one), and the next structure is 34 meV per atom less stable.

---

(one)
Material: Hf2ZrNi
Method: DFT, GGA-PBE
State: relaxed

a = 6.070 Å, b = 6.070 Å, c = 6.070 Å
α = 102.97°, β = 102.97°, γ = 123.44°
Element x y z (fractional)
Hf 0.067 0.625 0.942
Hf 0.375 0.317 0.442
Hf 0.683 0.125 0.058
Hf 0.875 0.933 0.558
Zr 0.250 0.750 0.500
Zr 0.500 0.500 0.000
Ni 0.000 0.000 0.000
Ni 0.750 0.250 0.500

Its space group is I-42d (122). The size of the total moment comes out at 0.0 μB per formula unit. The density of states at the Fermi level is 3.1 states/eV/f.u.

---

(two)
Material: Hf2ZrNi
Method: DFT, GGA-PBE
State: relaxed

a = 5.976 Å, b = 9.125 Å, c = 5.811 Å
α = 90.00°, β = 90.00°, γ = 90.00°
Element x y z (fractional)
Hf 0.202 0.054 0.139
Hf 0.202 0.446 0.139
Hf 0.298 0.554 0.639
Hf 0.298 0.946 0.639
Hf 0.702 0.054 0.361
Hf 0.702 0.446 0.361
Hf 0.798 0.554 0.861
Hf 0.798 0.946 0.861
Zr 0.030 0.250 0.664
Zr 0.470 0.750 0.164
Zr 0.530 0.250 0.836
Zr 0.970 0.750 0.336
Ni 0.113 0.750 0.889
Ni 0.387 0.250 0.389
Ni 0.613 0.750 0.611
Ni 0.887 0.250 0.111

Its space group is Pnma (62). The size of the total moment comes out at 0.0 μB per formula unit. The density of states at the Fermi level is 3.9 states/eV/f.u.

---

(three)
Material: Hf2ZrNi
Method: DFT, GGA-PBE
State: relaxed

a = 4.742 Å, b = 4.742 Å, c = 4.742 Å
α = 60.00°, β = 60.00°, γ = 60.00°
Element x y z (fractional)
Hf 0.250 0.250 0.250
Hf 0.750 0.750 0.750
Zr 0.000 0.000 0.000
Ni 0.500 0.500 0.500

Its space group is Fm-3m (225). The size of the total moment comes out at 0.0 μB per formula unit. The density of states at the Fermi level is 5.7 states/eV/f.u.

---

The most stable arrangement is (two), and the next structure is 297 meV per atom less stable.